## TlTePt2 (GGA-PBE)

Data for an optimized crystal structure of TlTePt2.

Its uncorrected formation energy is 88 meV per atom. For the relative energy among the computed polymorphs, the calculation gives 187 meV/atom.

Lattice parameters (Å, degrees): 6.236 8.292 2.944 110.65 61.93 138.42
Atoms (fractional coordinates):
1 Pt 0.000 0.000 0.000
2 Pt 0.000 0.500 0.500
3 Te 0.500 0.500 0.000
4 Tl 0.500 0.000 0.500


## TlTePt2 (GGA-PBE)

Data for an optimized crystal structure of TlTePt2.

Its uncorrected formation energy is 45 meV per atom. For the relative energy among the computed polymorphs, the calculation gives 144 meV/atom.

Lattice parameters (Å, degrees): 6.481 6.481 6.481 150.40 140.03 50.52
Atoms (fractional coordinates):
1 Pt 0.940 0.940 0.000
2 Pt 0.734 0.234 0.500
3 Te 0.544 0.544 0.000
4 Tl 0.282 0.782 0.500


## TlTe2Pt (GGA-PBE)

Data for an optimized crystal structure of TlTe2Pt.

Its uncorrected formation energy is -19 meV per atom. For the relative energy among the computed polymorphs, the calculation gives 274 meV/atom.

Lattice parameters (Å, degrees): 3.960 3.960 8.657 90.00 90.00 118.36
Atoms (fractional coordinates):
1 Pt 0.500 0.500 0.750
2 Te 0.000 0.000 0.946
3 Te 0.000 0.000 0.554
4 Tl 0.500 0.500 0.250


## TlTe2Pt (GGA-PBE)

Data for an optimized crystal structure of TlTe2Pt.

Its uncorrected formation energy is -132 meV per atom. For the relative energy among the computed polymorphs, the calculation gives 160 meV/atom.

Lattice parameters (Å, degrees): 6.581 6.581 7.891 65.36 65.36 90.00
Atoms (fractional coordinates):
1 Tl 0.000 0.000 0.000
2 Tl 0.750 0.250 0.500
3 Te 0.566 0.125 0.250
4 Te 0.184 0.625 0.250
5 Te 0.375 0.434 0.750
6 Te 0.875 0.816 0.750
7 Pt 0.500 0.500 0.000
8 Pt 0.250 0.750 0.500


## TlTePt2 (GGA-PBE)

Data for an optimized crystal structure of TlTePt2.

Its uncorrected formation energy is 10 meV per atom. For the relative energy among the computed polymorphs, the calculation gives 109 meV/atom.

Lattice parameters (Å, degrees): 3.894 3.098 6.956 90.00 90.00 90.00
Atoms (fractional coordinates):
1 Pt 0.000 0.250 0.964
2 Pt 0.000 0.250 0.536
3 Te 0.500 0.250 0.250
4 Tl 0.500 0.750 0.750


## TlTe3Pt (GGA-PBE)

Data for an optimized crystal structure of TlTe3Pt.

Its uncorrected formation energy is 108 meV per atom. For the relative energy among the computed polymorphs, the calculation gives 0 meV/atom.

Lattice parameters (Å, degrees): 5.415 5.415 5.415 90.00 90.00 90.00
Atoms (fractional coordinates):
1 Tl 0.500 0.500 0.500
2 Te 0.000 0.500 0.000
3 Te 0.000 0.000 0.500
4 Te 0.500 0.000 0.000
5 Pt 0.000 0.000 0.000